# Sc2TcPt2

Sc2TcPt2 after structural relaxation (PBE, Alexandria).

The space group is P4/mbm (No. 127) and the conventional cell measures 7.045, 7.045 and 3.664 Å, with angles of 90.00, 90.00 and 90.00 degrees. The distinct sites, in fractional coordinates, are Sc at (0.171, 0.329, 0.000), Tc at (0.000, 0.000, 0.500) and Pt at (0.134, 0.634, 0.500).

The calculation puts the calculated total energy at -76.689 eV per cell.

# Sc2TcPt

Sc2TcPt after structural relaxation (PBE, Alexandria).

The space group is I-4m2 (No. 119) and the conventional cell measures 3.882, 3.882 and 9.349 Å, with angles of 90.00, 90.00 and 90.00 degrees. The distinct sites, in fractional coordinates, are Sc at (0.000, 0.000, 0.000), Sc at (0.000, 0.500, 0.250), Tc at (0.000, 0.500, 0.750) and Pt at (0.000, 0.000, 0.500).

The calculation puts the calculated total energy at -62.326 eV per cell. The value obtained for the polymorph energy (0 for the lowest one) is 226 meV per atom.

no.,calculated density (g cm⁻³),ΔE_f (eV/atom)
1,10.6,-0.647
2,9.0,-0.523